[1]
CsLi3F4, optimized geometry, DFT PBE; space group = No. 12
1.0
5.895 0.003 0.002
3.196 4.953 0.002
2.628 1.433 7.423
Li F Cs
6 8 2
Direct
0.611 0.611 0.331
0.793 0.793 0.037
0.207 0.207 0.963
0.999 0.999 0.689
0.389 0.389 0.669
0.001 0.001 0.311
0.813 0.813 0.277
0.250 0.750 0.500
0.750 0.250 0.500
0.128 0.627 0.863
0.872 0.373 0.137
0.187 0.187 0.723
0.627 0.128 0.863
0.373 0.872 0.137
0.663 0.663 0.736
0.337 0.337 0.264


[2]
CsLiF2, optimized geometry, DFT PBE; E above lowest polymorph = 0 meV per atom; space group = No. 15
1.0
-1.437 6.538 0.295
-1.179 -4.030 -5.222
-7.643 -1.549 2.610
Cs F Li
4 8 4
Direct
0.669 0.852 0.432
0.331 0.148 0.568
0.148 0.331 0.068
0.852 0.669 0.932
0.133 0.867 0.250
0.867 0.133 0.750
0.320 0.680 0.750
0.133 0.419 0.421
0.581 0.867 0.079
0.419 0.133 0.921
0.680 0.320 0.250
0.867 0.581 0.579
0.045 0.446 0.639
0.446 0.045 0.139
0.554 0.955 0.861
0.955 0.554 0.361


[3]
Cs3LiMg2F9, optimized geometry, DFT PBE; space group = No. 164
1.0
-3.971 3.075 -3.370
-0.425 -6.018 0.438
-4.461 0.747 5.939
Cs Mg F Li
3 2 9 1
Direct
0.667 0.333 0.343
0.000 0.000 0.000
0.333 0.667 0.657
0.667 0.333 0.844
0.333 0.667 0.156
0.500 0.500 0.000
0.000 0.500 0.000
0.175 0.825 0.318
0.650 0.825 0.318
0.175 0.350 0.318
0.825 0.650 0.682
0.350 0.175 0.682
0.825 0.175 0.682
0.500 0.000 0.000
0.000 0.000 0.500


[4]
CsLiMgF4, optimized geometry, DFT PBE; space group = No. 11
1.0
5.284 0.000 -0.548
0.000 5.869 0.000
-2.759 0.000 8.217
Li F Cs Mg
2 8 2 2
Direct
0.117 0.250 0.475
0.883 0.750 0.525
0.764 0.250 0.882
0.525 0.750 0.515
0.954 0.987 0.333
0.475 0.250 0.485
0.046 0.013 0.667
0.046 0.487 0.667
0.236 0.750 0.118
0.954 0.513 0.333
0.412 0.250 0.124
0.588 0.750 0.876
0.812 0.250 0.680
0.188 0.750 0.320


no.,ΔE_f (raw) (eV/atom)
1,-2.814
2,-2.806
3,-2.872
4,-3.053